The following is a DFT calculation (SCAN) of a crystal of BaAuS3 relaxed with PBEsol.

a b c (Å): 4.869 4.869 4.869
angles (deg): 90.00 90.00 90.00
Space group Pm-3m (No. 221)
Asymmetric unit:
Ba: 0.000 0.000 0.000 [1 per cell]
Au: 0.500 0.500 0.500 [1 per cell]
S: 0.000 0.500 0.500 [3 per cell]

The following is a DFT calculation (SCAN) of a crystal of Ba2Au2S relaxed with PBEsol.

a b c (Å): 5.861 5.861 9.491
angles (deg): 90.00 90.00 90.00
Space group I4/mmm (No. 139)
Asymmetric unit:
Ba: 0.000 0.500 0.250 [4 per cell]
Au: 0.000 0.000 0.138 [4 per cell]
S: 0.000 0.000 0.500 [2 per cell]

The following is a DFT calculation (SCAN) of a crystal of BaWAu2S relaxed with PBEsol.

a b c (Å): 5.181 5.181 4.558
angles (deg): 90.00 90.00 90.00
Space group P4/mmm (No. 123)
Asymmetric unit:
Ba: 0.000 0.000 0.000 [1 per cell]
W: 0.500 0.500 0.500 [1 per cell]
Au: 0.000 0.500 0.500 [2 per cell]
S: 0.500 0.500 0.000 [1 per cell]

The following is a DFT calculation (SCAN) of a crystal of BaZrAuS2 relaxed with PBEsol.

a b c (Å): 4.968 4.968 5.254
angles (deg): 90.00 90.00 90.00
Space group P4/mmm (No. 123)
Asymmetric unit:
Ba: 0.000 0.000 0.000 [1 per cell]
Zr: 0.500 0.500 0.500 [1 per cell]
Au: 0.500 0.500 0.000 [1 per cell]
S: 0.000 0.500 0.500 [2 per cell]

| no. | DOS(E_F) (states/eV per atom) | E_form (uncorrected) (meV/atom) |
| --- | --- | --- |
| 1 | 0.74 | -758.7 |
| 2 | 0.21 | -862.3 |
| 3 | 0.66 | -401.9 |
| 4 | 0.21 | -1530.6 |